(1)
VASP calculation (GGA-PBEsol) on an optimized crystal structure of Sm2CN2O2.

The structure in CIF format:
```
data_Sm2CN2O2
_chemical_formula_sum 'Sm2 C1 N2 O2'
_cell_length_a 3.805
_cell_length_b 3.805
_cell_length_c 8.215
_cell_angle_alpha 90.00
_cell_angle_beta 90.00
_cell_angle_gamma 120.00
_space_group_name_H-M_alt 'P 1'
_space_group_IT_number 1
loop_
_space_group_symop_operation_xyz
'x,y,z'
loop_
_atom_site_label
_atom_site_fract_x
_atom_site_fract_y
_atom_site_fract_z
Sm1 0.333 0.667 0.179
Sm2 0.667 0.333 0.821
C1 0.000 0.000 0.500
N1 0.000 0.000 0.350
N2 0.000 0.000 0.650
O1 0.333 0.667 0.897
O2 0.667 0.333 0.103
```

spin magnetization: 0.00 μB per atom
volume: 14.71 Å³/atom
space group: P-3m1, No. 164
total DFT energy (no corrections): -8.94 eV/atom

=====

(2)
VASP calculation (GGA-PBEsol) on an optimized crystal structure of CaZnSe2.

The structure in CIF format:
```
data_CaZnSe2
_chemical_formula_sum 'Ca1 Zn1 Se2'
_cell_length_a 6.623
_cell_length_b 6.623
_cell_length_c 4.101
_cell_angle_alpha 93.21
_cell_angle_beta 93.21
_cell_angle_gamma 33.58
_space_group_name_H-M_alt 'P 1'
_space_group_IT_number 1
loop_
_space_group_symop_operation_xyz
'x,y,z'
loop_
_atom_site_label
_atom_site_fract_x
_atom_site_fract_y
_atom_site_fract_z
Ca1 0.000 0.000 0.000
Zn1 0.736 0.736 0.754
Se1 0.313 0.313 0.025
Se2 0.564 0.564 0.511
```

spin magnetization: 0.00 μB per atom
volume: 24.83 Å³/atom
space group: Cm, No. 8
total DFT energy (no corrections): -4.01 eV/atom

=====

(3)
VASP calculation (GGA-PBEsol) on an optimized crystal structure of SrSb2IN.

The structure in CIF format:
```
data_SrSb2IN
_chemical_formula_sum 'Sr1 Sb2 I1 N1'
_cell_length_a 4.845
_cell_length_b 4.845
_cell_length_c 5.081
_cell_angle_alpha 90.00
_cell_angle_beta 90.00
_cell_angle_gamma 90.00
_space_group_name_H-M_alt 'P 1'
_space_group_IT_number 1
loop_
_space_group_symop_operation_xyz
'x,y,z'
loop_
_atom_site_label
_atom_site_fract_x
_atom_site_fract_y
_atom_site_fract_z
Sr1 0.000 0.000 0.000
Sb1 0.000 0.500 0.500
Sb2 0.500 0.000 0.500
I1 0.500 0.500 0.000
N1 0.500 0.500 0.500
```

spin magnetization: 0.00 μB per atom
volume: 23.85 Å³/atom
space group: P4/mmm, No. 123
total DFT energy (no corrections): -4.17 eV/atom

=====

Which value of total DFT energy (no corrections) does entry 1 give?
-8.94 eV/atom

=====

Look up the total DFT energy (no corrections) of the second one.
-4.01 eV/atom

=====

Look up the volume of the second one.
24.83 Å³/atom